No. 1
Entry from Alexandria via LeMat-Bulk: a geometry-optimized La6TlPt2 structure (GGA-PBE). Values from VASP.

Calculated values
total energy: -0.202 hartree per atom
N(E_F): 9.182 states/eV/cell
calculated formation energy: -0.602 eV per atom
magnetic moment: 0.0000 μB/atom

```
&SYSTEM
  ibrav = 0, nat = 9, ntyp = 3
/
ATOMIC_SPECIES
La 138.91 La.upf
Tl 204.38 Tl.upf
Pt 195.08 Pt.upf
ATOMIC_POSITIONS crystal
La 0.074 0.074 0.355
La 0.307 0.307 0.900
La 0.391 0.391 0.334
La 0.609 0.609 0.666
La 0.693 0.693 0.100
La 0.926 0.926 0.645
Tl 0.000 0.000 0.000
Pt 0.259 0.259 0.609
Pt 0.741 0.741 0.391
CELL_PARAMETERS angstrom
5.500 -2.597 0.000
5.500 2.597 0.000
-0.735 0.000 9.445
```



No. 2
Entry from Alexandria via LeMat-Bulk: a geometry-optimized Te2PtPb structure (GGA-PBE). Values from VASP.

Calculated values
total energy: -0.156 hartree per atom
N(E_F): 6.232 states/eV/cell
formation energy (no corrections): -0.235 eV per atom
magnetic moment: 0.0000 μB/atom

```
&SYSTEM
  ibrav = 0, nat = 12, ntyp = 3
/
ATOMIC_SPECIES
Te 127.60 Te.upf
Pt 195.08 Pt.upf
Pb 207.20 Pb.upf
ATOMIC_POSITIONS crystal
Te 0.000 0.000 0.000
Te 0.000 0.000 0.210
Te 0.333 0.667 0.667
Te 0.333 0.667 0.877
Te 0.667 0.333 0.333
Te 0.667 0.333 0.543
Pt 0.000 0.000 0.604
Pt 0.333 0.667 0.271
Pt 0.667 0.333 0.937
Pb 0.000 0.000 0.439
Pb 0.333 0.667 0.106
Pb 0.667 0.333 0.772
CELL_PARAMETERS angstrom
4.078 0.000 0.000
-2.039 3.531 0.000
0.000 0.000 23.159
```